Entry 1:
This record from OQMD via LeMat-Bulk describes Zr2Ir after structural relaxation. The functional is PBE-GGA.

The value obtained for the calculated formation energy is -0.3894 eV per atom.

The space group is Pmmn (No. 59, origin choice 2) and the conventional cell measures 4.598, 9.509 and 5.489 Å, with angles of 90.00, 90.00 and 90.00 degrees. The asymmetric unit holds Zr at (0.250, 0.054, 0.155), Zr at (0.250, 0.250, 0.621), Zr at (0.250, 0.750, 0.997) and Ir at (0.250, 0.599, 0.574).

---

Entry 2:
This record from OQMD via LeMat-Bulk describes Li2NbPN4 after structural relaxation. The functional is PBE-GGA.

The electronic total energy comes out at -7.35 eV per atom.

The space group is I-4 (No. 82) and the conventional cell measures 4.663, 4.663 and 8.239 Å, with angles of 90.00, 90.00 and 90.00 degrees. The asymmetric unit holds Li at (0.000, 0.000, 0.000), Li at (0.000, 0.500, 0.250), Nb at (0.000, 0.500, 0.750), P at (0.000, 0.000, 0.500) and N at (0.194, 0.218, 0.614).

---

Entry 3:
This record from OQMD via LeMat-Bulk describes LaInPd2 after structural relaxation. The functional is PBE-GGA.

The electronic total energy comes out at -5.31 eV per atom.

The space group is P6_3/mmc (No. 194) and the conventional cell measures 4.6888, 4.6888 and 9.3389 Å, with angles of 90.00, 90.00 and 120.00 degrees. The asymmetric unit holds La at (0.3333, 0.6667, 0.2500), In at (0.0000, 0.0000, 0.0000) and Pd at (0.3333, 0.6667, 0.5802).

---

Entry 4:
This record from OQMD via LeMat-Bulk describes YUIn after structural relaxation. The functional is PBE-GGA.

Its excess energy over the best structure of this formula in the dataset is 0.000 eV/atom.

The space group is F-43m (No. 216) and the conventional cell measures 7.334, 7.334 and 7.334 Å, with angles of 90.00, 90.00 and 90.00 degrees. The asymmetric unit holds Y at (0.000, 0.000, 0.000), U at (0.000, 0.000, 0.500) and In at (0.250, 0.250, 0.750).

---

Entry 5:
This record from OQMD via LeMat-Bulk describes Li4CuBi2Pd after structural relaxation. The functional is PBE-GGA.

The electronic total energy comes out at -3.50 eV per atom.

The space group is P-4m2 (No. 115) and the conventional cell measures 4.601, 4.601 and 6.490 Å, with angles of 90.00, 90.00 and 90.00 degrees. The asymmetric unit holds Li at (0.000, 0.000, 0.000), Li at (0.000, 0.500, 0.244), Li at (0.500, 0.500, 0.500), Cu at (0.000, 0.000, 0.500), Bi at (0.000, 0.500, 0.744) and Pd at (0.500, 0.500, 0.000).

---

Entry 6:
This record from OQMD via LeMat-Bulk describes SmSnAuSe2S after structural relaxation. The functional is PBE-GGA.

The electronic total energy comes out at -4.73 eV per atom.

The space group is Cmcm (No. 63) and the conventional cell measures 4.096, 13.705 and 10.426 Å, with angles of 90.00, 90.00 and 90.00 degrees. The asymmetric unit holds Sm at (0.000, 0.000, 0.000), Sn at (0.000, 0.252, 0.250), Au at (0.000, 0.472, 0.750), Se at (0.000, 0.348, 0.559) and S at (0.000, 0.090, 0.750).

---

Entry 7:
This record from OQMD via LeMat-Bulk describes AgTe2Cl after structural relaxation. The functional is PBE-GGA.

The electronic total energy comes out at -3.00 eV per atom.

The space group is P2_1/c (No. 14) and the conventional cell measures 8.711, 5.142 and 12.990 Å, with angles of 90.00, 118.50 and 90.00 degrees. The asymmetric unit holds Ag at (0.183, 0.106, 0.249), Te at (0.276, 0.019, 0.634), Te at (0.436, 0.718, 0.356) and Cl at (0.094, 0.174, 0.893).

---

Entry 8:
This record from OQMD via LeMat-Bulk describes FeReSiPt after structural relaxation. The functional is PBE-GGA.

Its excess energy over the best structure of this formula in the dataset is 0.000 eV/atom.

The space group is F-43m (No. 216) and the conventional cell measures 6.017, 6.017 and 6.017 Å, with angles of 90.00, 90.00 and 90.00 degrees. The asymmetric unit holds Fe at (0.000, 0.000, 0.000), Re at (0.000, 0.000, 0.500), Si at (0.250, 0.250, 0.750) and Pt at (0.250, 0.250, 0.250).

---

Entry 9:
This record from OQMD via LeMat-Bulk describes Lu2HfIr after structural relaxation. The functional is PBE-GGA.

The value obtained for the calculated formation energy is -0.1891 eV per atom.

The space group is F-43m (No. 216) and the conventional cell measures 6.939, 6.939 and 6.939 Å, with angles of 90.00, 90.00 and 90.00 degrees. The asymmetric unit holds Lu at (0.000, 0.000, 0.000), Lu at (0.250, 0.250, 0.250), Hf at (0.000, 0.000, 0.500) and Ir at (0.250, 0.250, 0.750).

---

Entry 10:
This record from OQMD via LeMat-Bulk describes Nb3B2Pb after structural relaxation. The functional is PBE-GGA.

The electronic total energy comes out at -8.28 eV per atom.

The space group is P6_3/mmc (No. 194) and the conventional cell measures 3.3191, 3.3191 and 19.5845 Å, with angles of 90.00, 90.00 and 120.00 degrees. The asymmetric unit holds Nb at (0.0000, 0.0000, 0.0000), Nb at (0.3333, 0.6667, 0.1285), B at (0.3333, 0.6667, 0.5685) and Pb at (0.0000, 0.0000, 0.2500).